Record 1
The following is a DFT calculation (GGA-PBE) of a relaxed structure of DyPu3Ga8.

Results
ρ	10.26	g cm⁻³
crystal system	trigonal
SG	No. 160
E_tot	-76.71	eV for the cell shown
calculated volume	234.99	Å³/cell

Cell lengths 9.537, 9.537, 9.537 Å; angles 33.47, 33.47, 33.47 degrees
Fractional positions:
Dy  0.000  0.000  0.000
Pu  0.128  0.128  0.128
Pu  0.499  0.499  0.499
Pu  0.620  0.620  0.620
Ga  0.060  0.562  0.562
Ga  0.062  0.062  0.563
Ga  0.062  0.563  0.062
Ga  0.311  0.311  0.311
Ga  0.562  0.060  0.562
Ga  0.562  0.562  0.060
Ga  0.563  0.062  0.062
Ga  0.812  0.812  0.812

Record 2
The following is a DFT calculation (GGA-PBE) of a relaxed structure of PrYNiRh.

Results
ρ	7.36	g cm⁻³
crystal system	orthorhombic
E above lowest polymorph	0	meV/atom
SG	No. 38
calculated volume	88.34	Å³/cell

Cell lengths 4.138, 5.782, 5.782 Å; angles 39.69, 90.00, 90.00 degrees
Fractional positions:
Pr  0.000  0.000  0.000
Y  0.500  0.719  0.719
Ni  0.500  0.431  0.431
Rh  0.000  0.277  0.277

Record 3
The following is a DFT calculation (GGA-PBE) of a relaxed structure of Rb2MgZnBr6.

Results
ρ	3.99	g cm⁻³
crystal system	tetragonal
formation energy without anion corrections	-1.344	eV/atom
E above lowest polymorph	76	meV/atom
SG	No. 139
calculated volume	307.70	Å³/cell

Cell lengths 7.577, 7.577, 7.577 Å; angles 119.97, 119.97, 90.06 degrees
Fractional positions:
Rb  0.250  0.750  0.500
Rb  0.750  0.250  0.500
Mg  0.000  0.000  0.000
Zn  0.500  0.500  0.000
Br  0.252  0.252  0.504
Br  0.252  0.748  0.000
Br  0.253  0.253  0.000
Br  0.747  0.747  0.000
Br  0.748  0.252  0.000
Br  0.748  0.748  0.496

Record 4
The following is a DFT calculation (GGA-PBE) of a relaxed structure of TbCe2Se.

Results
ρ	7.09	g cm⁻³
crystal system	trigonal
formation energy without anion corrections	-0.638	eV/atom
SG	No. 166
calculated volume	121.38	Å³/cell

Cell lengths 9.908, 9.908, 9.908 Å; angles 22.16, 22.16, 22.16 degrees
Fractional positions:
Tb  0.000  0.000  0.000
Ce  0.234  0.234  0.234
Ce  0.766  0.766  0.766
Se  0.500  0.500  0.500

Record 5
The following is a DFT calculation (GGA-PBE) of a relaxed structure of NpAlTcIr.

Results
ρ	13.60	g cm⁻³
crystal system	cubic
SG	No. 216
E_tot	-37.25	eV for the cell shown
calculated volume	67.67	Å³/cell

Cell lengths 4.574, 4.574, 4.574 Å; angles 60.00, 60.00, 60.00 degrees
Fractional positions:
Np  0.000  0.000  0.000
Al  0.500  0.500  0.500
Tc  0.750  0.750  0.750
Ir  0.250  0.250  0.250

Record 6
The following is a DFT calculation (GGA-PBE) of a relaxed structure of CaAc2Al.

Results
ρ	6.10	g cm⁻³
crystal system	tetragonal
E above lowest polymorph	58	meV/atom
SG	No. 123
calculated volume	141.81	Å³/cell

Cell lengths 5.374, 5.374, 4.911 Å; angles 90.00, 90.00, 90.00 degrees
Fractional positions:
Ca  0.000  0.000  0.000
Ac  0.000  0.500  0.500
Ac  0.500  0.000  0.500
Al  0.500  0.500  0.000